The following is a GGA-PBE calculation of a relaxed Ca2ScNi crystal, from Alexandria.

```
data_Ca2ScNi
_cell_length_a 4.865
_cell_length_b 4.875
_cell_length_c 8.768
_cell_angle_alpha 90.00
_cell_angle_beta 90.00
_cell_angle_gamma 90.00
_symmetry_space_group_name_H-M 'C m m m'
_symmetry_Int_Tables_number 65
_symmetry_space_group_name_Hall '-C 2 2'
loop_
_atom_site_label
_atom_site_type_symbol
_atom_site_fract_x
_atom_site_fract_y
_atom_site_fract_z
_atom_site_occupancy
Ca1 Ca 0.000 0.000 0.191 1
Sc1 Sc 0.000 0.500 0.500 1
Ni1 Ni 0.000 0.500 0.000 1
```

Results
The crystal system is orthorhombic. The energy above the lowest structure with this stoichiometry is 229 meV/atom.



The following is a GGA-PBE calculation of a relaxed CaSc2Ni crystal, from Alexandria.

```
data_CaSc2Ni
_cell_length_a 6.970
_cell_length_b 6.970
_cell_length_c 6.970
_cell_angle_alpha 90.00
_cell_angle_beta 90.00
_cell_angle_gamma 90.00
_symmetry_space_group_name_H-M 'F m -3 m'
_symmetry_Int_Tables_number 225
_symmetry_space_group_name_Hall '-F 4 2 3'
loop_
_atom_site_label
_atom_site_type_symbol
_atom_site_fract_x
_atom_site_fract_y
_atom_site_fract_z
_atom_site_occupancy
Ca1 Ca 0.000 0.000 0.000 1
Sc1 Sc 0.250 0.250 0.250 1
Ni1 Ni 0.000 0.000 0.500 1
```

Results
The crystal system is cubic. The energy above the lowest structure with this stoichiometry is 313 meV/atom.



The following is a GGA-PBE calculation of a relaxed Ca2ScNi crystal, from Alexandria.

```
data_Ca2ScNi
_cell_length_a 4.672
_cell_length_b 4.672
_cell_length_c 4.561
_cell_angle_alpha 90.00
_cell_angle_beta 90.00
_cell_angle_gamma 90.00
_symmetry_space_group_name_H-M 'P 4/m m m'
_symmetry_Int_Tables_number 123
_symmetry_space_group_name_Hall '-P 4 2'
loop_
_atom_site_label
_atom_site_type_symbol
_atom_site_fract_x
_atom_site_fract_y
_atom_site_fract_z
_atom_site_occupancy
Ca1 Ca 0.000 0.500 0.000 1
Sc1 Sc 0.000 0.000 0.500 1
Ni1 Ni 0.500 0.500 0.500 1
```

Results
The crystal system is tetragonal. The energy above the lowest structure with this stoichiometry is 374 meV/atom.



The following is a GGA-PBE calculation of a relaxed Ca2ScNi crystal, from Alexandria.

```
data_Ca2ScNi
_cell_length_a 3.6191
_cell_length_b 3.6191
_cell_length_c 29.2735
_cell_angle_alpha 90.00
_cell_angle_beta 90.00
_cell_angle_gamma 120.00
_symmetry_space_group_name_H-M 'R -3 m'
_symmetry_Int_Tables_number 166
_symmetry_space_group_name_Hall '-R 3 2"'
loop_
_atom_site_label
_atom_site_type_symbol
_atom_site_fract_x
_atom_site_fract_y
_atom_site_fract_z
_atom_site_occupancy
Ca1 Ca 0.0000 0.0000 0.2286 1
Sc1 Sc 0.0000 0.0000 0.0000 1
Ni1 Ni 0.0000 0.0000 0.5000 1
```

Results
The crystal system is trigonal. The energy above the lowest structure with this stoichiometry is 337 meV/atom.



The following is a GGA-PBE calculation of a relaxed CaSc2Ni crystal, from Alexandria.

```
data_CaSc2Ni
_cell_length_a 3.782
_cell_length_b 4.790
_cell_length_c 4.846
_cell_angle_alpha 90.00
_cell_angle_beta 90.00
_cell_angle_gamma 90.00
_symmetry_space_group_name_H-M 'P m m m'
_symmetry_Int_Tables_number 47
loop_
_symmetry_equiv_pos_as_xyz
'x,y,z'
'-x,-y,-z'
'-x,-y,z'
'x,y,-z'
'x,-y,-z'
'-x,y,z'
'-x,y,-z'
'x,-y,z'
loop_
_atom_site_label
_atom_site_type_symbol
_atom_site_fract_x
_atom_site_fract_y
_atom_site_fract_z
_atom_site_occupancy
Ca1 Ca 0.000 0.000 0.000 1
Sc1 Sc 0.000 0.500 0.500 1
Sc2 Sc 0.500 0.000 0.500 1
Ni1 Ni 0.500 0.500 0.000 1
```

Results
The crystal system is orthorhombic. The energy above the lowest structure with this stoichiometry is 305 meV/atom.



The following is a GGA-PBE calculation of a relaxed CaScNi crystal, from Alexandria.

```
data_CaScNi
_cell_length_a 19.689
_cell_length_b 4.612
_cell_length_c 6.953
_cell_angle_alpha 90.00
_cell_angle_beta 92.93
_cell_angle_gamma 90.00
_symmetry_space_group_name_H-M 'C 1 2/m 1'
_symmetry_Int_Tables_number 12
loop_
_symmetry_equiv_pos_as_xyz
'x,y,z'
'-x,-y,-z'
'-x,y,-z'
'x,-y,z'
'x+1/2,y+1/2,z'
'-x+1/2,-y+1/2,-z'
'-x+1/2,y+1/2,-z'
'x+1/2,-y+1/2,z'
loop_
_atom_site_label
_atom_site_type_symbol
_atom_site_fract_x
_atom_site_fract_y
_atom_site_fract_z
_atom_site_occupancy
Ca1 Ca 0.075 0.000 0.297 1
Ca2 Ca 0.089 0.500 0.823 1
Sc1 Sc 0.210 0.000 0.610 1
Sc2 Sc 0.234 0.000 0.134 1
Ni1 Ni 0.168 0.500 0.493 1
Ni2 Ni 0.179 0.500 0.157 1
```

Results
The crystal system is monoclinic. The energy above the lowest structure with this stoichiometry is 44 meV/atom.



The following is a GGA-PBE calculation of a relaxed CaScNi crystal, from Alexandria.

```
data_CaScNi
_cell_length_a 4.363
_cell_length_b 4.363
_cell_length_c 7.442
_cell_angle_alpha 90.00
_cell_angle_beta 90.00
_cell_angle_gamma 90.00
_symmetry_space_group_name_H-M 'P 4/n m m'
_symmetry_Int_Tables_number 129
loop_
_symmetry_equiv_pos_as_xyz
'x,y,z'
'-x,-y,-z'
'-y+1/2,x,z'
'y+1/2,-x,-z'
'-x+1/2,-y+1/2,z'
'x+1/2,y+1/2,-z'
'y,-x+1/2,z'
'-y,x+1/2,-z'
'x+1/2,-y,-z'
'-x+1/2,y,z'
'-y,-x,-z'
'y,x,z'
'-x,y+1/2,-z'
'x,-y+1/2,z'
'y+1/2,x+1/2,-z'
'-y+1/2,-x+1/2,z'
loop_
_atom_site_label
_atom_site_type_symbol
_atom_site_fract_x
_atom_site_fract_y
_atom_site_fract_z
_atom_site_occupancy
Ca1 Ca 0.250 0.250 0.138 1
Sc1 Sc 0.250 0.750 0.500 1
Ni1 Ni 0.250 0.250 0.702 1
```

Results
The crystal system is tetragonal. The energy above the lowest structure with this stoichiometry is 0 meV/atom.



The following is a GGA-PBE calculation of a relaxed CaScNi3 crystal, from Alexandria.

```
data_CaScNi3
_cell_length_a 4.561
_cell_length_b 4.561
_cell_length_c 4.561
_cell_angle_alpha 90.00
_cell_angle_beta 90.00
_cell_angle_gamma 90.00
_symmetry_space_group_name_H-M 'P m -3 m'
_symmetry_Int_Tables_number 221
_symmetry_space_group_name_Hall '-P 4 2 3'
loop_
_atom_site_label
_atom_site_type_symbol
_atom_site_fract_x
_atom_site_fract_y
_atom_site_fract_z
_atom_site_occupancy
Ca1 Ca 0.000 0.000 0.000 1
Sc1 Sc 0.500 0.500 0.500 1
Ni1 Ni 0.000 0.000 0.500 1
```

Results
The crystal system is cubic. The energy above the lowest structure with this stoichiometry is 553 meV/atom.



Raw total energy across the listed records, respectively: -3.90 -4.93 -3.76 -3.79 -4.94 -4.87 -4.92 -4.18 eV per atom.
Calculated formation energy across the listed records, respectively: 49 70 105 91 66 -49 -62 461 kJ/mol of formula units.